(1)
Below is a relaxed structure of Y4Mn, with properties calculated at the PBE level.

Results
The calculation puts the formation energy at 0.227 eV per atom. For the total magnetic moment, the calculation gives 3.040 μB/cell.

Lattice parameters (Å, degrees): 5.878 5.878 5.878 100.80 100.80 128.69
Each line ends with the local moment (μB).
Fractional positions:
1 Y 0.615 0.804 0.419  -0.15
2 Y 0.196 0.615 0.811  -0.15
3 Y 0.385 0.196 0.581  -0.15
4 Y 0.804 0.385 0.189  -0.15
5 Mn 0.000 0.000 0.000  3.81

---

(2)
Below is a relaxed structure of Ti2MnOsSe, with properties calculated at the PBE level.

Results
For the total magnetic moment, the calculation gives 2.710 μB/cell.

Lattice parameters (Å, degrees): 4.575 4.311 4.575 90.00 90.00 90.00
Each line ends with the local moment (μB).
Fractional positions:
1 Ti 0.500 0.000 0.000  0.06
2 Ti 0.000 0.000 0.500  0.03
3 Mn 0.000 0.500 0.000  2.97
4 Os 0.500 0.500 0.500  -0.35
5 Se 0.000 0.000 0.000  -0.01

---

(3)
Below is a relaxed structure of PmIr2Rh5, with properties calculated at the PBE level.

Results
The calculation puts the formation energy at -0.002 eV per atom. For the total magnetic moment, the calculation gives 0.000 μB/cell.

Lattice parameters (Å, degrees): 3.880 6.371 6.371 72.84 72.27 72.27
Fractional positions:
1 Pm 0.000 0.000 0.000
2 Rh 0.651 0.166 0.532
3 Rh 0.651 0.532 0.166
4 Rh 0.000 0.500 0.500
5 Rh 0.349 0.468 0.834
6 Rh 0.349 0.834 0.468
7 Ir 0.735 0.765 0.765
8 Ir 0.265 0.235 0.235

---

Calculated total energy across the listed records, respectively: -33.891, -36.677, -59.248 eV for the cell shown.